Record 1
First-principles (PBE) data for a geometry-optimized SmErLu2 structure, as listed in the Alexandria database.

Cell lengths 4.9383, 4.9817, 4.9817 Å; angles 90.00, 90.00, 90.00 degrees
Last column: nearest neighbours and their distance in Å.
Sites, in units of the cell vectors:
1 Lu 0.0000 0.0000 0.5000  4 Er 3.51, 4 Sm 3.51, 4 Lu 3.52
2 Lu 0.0000 0.5000 0.0000  4 Er 3.51, 4 Sm 3.51, 4 Lu 3.52
3 Sm 0.5000 0.5000 0.5000  8 Lu 3.51, 4 Er 3.52
4 Er 0.5000 0.0000 0.0000  8 Lu 3.51, 4 Sm 3.52

Energy above the lowest structure with this stoichiometry, meV per atom: 0
Formation energy, meV per atom: 31



Record 2
First-principles (PBE) data for a geometry-optimized OsS8 structure, as listed in the Alexandria database.

Cell lengths 9.6072, 7.0268, 7.0268 Å; angles 135.49, 74.36, 118.65 degrees
Last column: nearest neighbours and their distance in Å.
Sites, in units of the cell vectors:
1 Os 0.0000 0.0000 0.0000  4 S 2.23-2.29
2 S 0.0037 0.8313 0.1724  1 S 2.06, 1 Os 2.23
3 S 0.9963 0.1687 0.8276  1 S 2.06, 1 Os 2.23
4 S 0.6871 0.1156 0.5714  1 S 1.91
5 S 0.4881 0.1180 0.3701  1 S 1.91
6 S 0.7804 0.7199 0.0606  1 S 2.06, 1 Os 2.29
7 S 0.5119 0.8820 0.6299  1 S 1.91
8 S 0.3129 0.8844 0.4286  1 S 1.91
9 S 0.2196 0.2801 0.9394  1 S 2.06, 1 Os 2.29

ΔE_f (raw), eV/atom: 0.42



Record 3
First-principles (PBE) data for a geometry-optimized Sr3B2N4 structure, as listed in the Alexandria database.

Cell lengths 7.6863, 7.6863, 7.6863 Å; angles 90.00, 90.00, 90.00 degrees
Last column: nearest neighbours and their distance in Å.
Sites, in units of the cell vectors:
1 Sr 0.7366 0.7366 0.2633  6 N 2.66-2.90
2 Sr 0.2633 0.2633 0.7366  6 N 2.66-2.90
3 Sr 0.7366 0.2633 0.7366  6 N 2.66-2.90
4 Sr 0.2633 0.7366 0.2633  6 N 2.66-2.90
5 Sr 0.7366 0.2633 0.2633  6 N 2.66-2.90
6 Sr 0.2633 0.7366 0.7366  6 N 2.66-2.90
7 Sr 0.7366 0.7366 0.7366  6 N 2.66-2.90
8 Sr 0.2633 0.2633 0.2633  6 N 2.66-2.90
9 Sr 0.0000 0.0000 0.0000  6 N 2.50
10 B 0.0000 0.0000 0.5000  2 N 1.34
11 B 0.5000 0.5000 0.0000  2 N 1.35
12 B 0.5000 0.0000 0.5000  2 N 1.35
13 B 0.0000 0.5000 0.0000  2 N 1.34
14 B 0.5000 0.0000 0.0000  2 N 1.34
15 B 0.0000 0.5000 0.5000  2 N 1.35
16 N 0.5000 0.5000 0.1751  1 B 1.35
17 N 0.0000 0.0000 0.6749  1 B 1.34
18 N 0.5000 0.8249 0.5000  1 B 1.35
19 N 0.0000 0.3251 0.0000  1 B 1.34
20 N 0.3251 0.0000 0.0000  1 B 1.34
21 N 0.8249 0.5000 0.5000  1 B 1.35
22 N 0.5000 0.5000 0.8249  1 B 1.35
23 N 0.0000 0.0000 0.3251  1 B 1.34
24 N 0.5000 0.1751 0.5000  1 B 1.35
25 N 0.0000 0.6749 0.0000  1 B 1.34
26 N 0.6749 0.0000 0.0000  1 B 1.34
27 N 0.1751 0.5000 0.5000  1 B 1.35

ΔE_f (raw), eV/atom: -1.10



Record 4
First-principles (PBE) data for a geometry-optimized LaSb2 structure, as listed in the Alexandria database.

Cell lengths 5.1268, 5.1257, 4.1037 Å; angles 90.00, 90.00, 120.00 degrees
Last column: nearest neighbours and their distance in Å.
Sites, in units of the cell vectors:
1 La 0.0000 0.0000 0.0000  12 Sb 3.60
2 Sb 0.6667 0.3333 0.5003  3 Sb 2.96
3 Sb 0.3333 0.6667 0.4997  3 Sb 2.96

ΔE_f (raw), eV/atom: -0.61



Asked for volume across the records above, the calculation gives 122.6; 289.8; 454.1; 93.4 Å³ per cell in order.